Entry 1:
## RbZnO (PBE)

Data for a geometry-optimized RbZnO structure.

Properties
* space-group type: P-1
* total DFT energy (no corrections): -3.462 eV per atom

Lattice parameters (Å, degrees): 5.0337 5.3906 6.6347 113.75 111.41 90.31
Last column: nearest neighbours and their distance in Å.
Sites, in units of the cell vectors:
Rb: 0.2117 0.2111 0.4222  4 O 2.84-3.10
Rb: 0.7883 0.7889 0.5778  4 O 2.84-3.10
Zn: 0.2643 0.5007 0.0006  2 O 1.97-1.98
Zn: 0.7357 0.4993 0.9994  2 O 1.97-1.98
O: 0.1267 0.6316 0.2628  2 Zn 1.97-1.98
O: 0.8733 0.3684 0.7372  2 Zn 1.97-1.98

---

Entry 2:
## Rb2Zn2O3 (PBE)

Data for a geometry-optimized Rb2Zn2O3 structure.

Properties
* space-group type: P2_1/c
* total DFT energy (no corrections): -4.031 eV per atom

Lattice parameters (Å, degrees): 5.9512 6.2707 6.5730 90.00 113.79 90.00
Last column: nearest neighbours and their distance in Å.
Sites, in units of the cell vectors:
Rb: 0.1859 0.1250 0.4251  4 O 2.67-2.84
Rb: 0.1859 0.3750 0.9251  4 O 2.67-2.84
Rb: 0.8141 0.6250 0.0749  4 O 2.67-2.84
Rb: 0.8141 0.8750 0.5749  4 O 2.67-2.84
Zn: 0.3332 0.6109 0.5745  4 O 1.97-2.14
Zn: 0.3332 0.8891 0.0745  4 O 1.97-2.14
Zn: 0.6668 0.1109 0.9255  4 O 1.97-2.14
Zn: 0.6668 0.3891 0.4255  4 O 1.97-2.14
O: 0.0000 0.0000 0.0000  2 Zn 1.97
O: 0.0000 0.5000 0.5000  2 Zn 1.97
O: 0.4095 0.6443 0.3000  3 Zn 2.04-2.14
O: 0.4095 0.8557 0.8000  3 Zn 2.04-2.14
O: 0.5905 0.1443 0.2000  3 Zn 2.04-2.14
O: 0.5905 0.3557 0.7000  3 Zn 2.04-2.14